Record 1
! Cs2LiLuCl6 | the Alexandria database | PBEsol | optimized geometry; values from VASP
&SYSTEM
  ibrav = 0, nat = 10, ntyp = 4
/
ATOMIC_SPECIES
Cs 132.91 Cs.upf
Li 6.94 Li.upf
Lu 174.97 Lu.upf
Cl 35.45 Cl.upf
ATOMIC_POSITIONS crystal
Cs 0.250 0.250 0.250
Cs 0.750 0.750 0.750
Li 0.000 0.000 0.000
Lu 0.500 0.500 0.500
Cl 0.251 0.251 0.749
Cl 0.251 0.749 0.251
Cl 0.251 0.749 0.749
Cl 0.749 0.251 0.251
Cl 0.749 0.251 0.749
Cl 0.749 0.749 0.251
CELL_PARAMETERS angstrom
0.000 5.136 5.136
5.136 0.000 5.136
5.136 5.136 0.000
! Energy relative to the elements, uncorrected in eV/atom: -2.147
! DFT total energy in eV/cell: -42.24

=====

Record 2
! TiMnSbTe2 | the Alexandria database | PBEsol | optimized geometry; values from VASP
&SYSTEM
  ibrav = 0, nat = 5, ntyp = 4
/
ATOMIC_SPECIES
Ti 47.87 Ti.upf
Mn 54.94 Mn.upf
Sb 121.76 Sb.upf
Te 127.60 Te.upf
ATOMIC_POSITIONS crystal
Ti 0.000 0.000 0.000
Mn 0.500 0.500 0.500
Sb 0.500 0.500 0.000
Te 0.000 0.500 0.500
Te 0.500 0.000 0.500
CELL_PARAMETERS angstrom
5.119 0.000 0.000
0.000 5.119 0.000
0.000 0.000 4.902
! Energy relative to the elements, uncorrected in eV/atom: 0.537
! DFT total energy in eV/cell: -27.01

=====

Record 3
! Er2Co3Ge5 | the Alexandria database | PBEsol | optimized geometry; values from VASP
&SYSTEM
  ibrav = 0, nat = 20, ntyp = 3
/
ATOMIC_SPECIES
Er 167.26 Er.upf
Co 58.93 Co.upf
Ge 72.64 Ge.upf
ATOMIC_POSITIONS crystal
Er 0.091 0.373 0.233
Er 0.373 0.091 0.733
Er 0.627 0.909 0.267
Er 0.909 0.627 0.767
Co 0.045 0.764 0.378
Co 0.236 0.955 0.122
Co 0.497 0.503 0.250
Co 0.503 0.497 0.750
Co 0.764 0.045 0.878
Co 0.955 0.236 0.622
Ge 0.011 0.989 0.750
Ge 0.237 0.419 0.825
Ge 0.273 0.727 0.750
Ge 0.289 0.711 0.250
Ge 0.419 0.237 0.325
Ge 0.581 0.763 0.675
Ge 0.711 0.289 0.750
Ge 0.727 0.273 0.250
Ge 0.763 0.581 0.175
Ge 0.989 0.011 0.250
CELL_PARAMETERS angstrom
5.407 -5.813 0.000
5.407 5.813 0.000
-2.719 0.000 4.901
! DFT total energy in eV/cell: -128.61
! Energy of formation in eV per atom: -0.654

=====

Among the records above, which one has the lowest DFT total energy?
Er2Co3Ge5

=====

The highest DFT total energy belongs to which entry?
TiMnSbTe2